[1]
Y4FeSbN2 | PBE | relaxed

space group: P-6m2
crystal system: hexagonal

Cell and atoms, written as POSCAR:
```
Y4FeSbN2
1.0
3.5136 0.0000 0.0000
-1.7568 3.0429 0.0000
0.0000 0.0000 14.4017
Y Fe Sb N
4 1 1 2
direct
0.0000 0.0000 0.1359
0.0000 0.0000 0.8641
0.6667 0.3333 0.3278
0.6667 0.3333 0.6722
0.6667 0.3333 0.0000
0.0000 0.0000 0.5000
0.3333 0.6667 0.2459
0.3333 0.6667 0.7541
```

[2]
Y4FeSbN2 | PBE | relaxed

space group: P-6m2
crystal system: hexagonal

Cell and atoms, written as POSCAR:
```
Y4FeSbN2
1.0
3.5117 0.0000 0.0000
-1.7558 3.0412 0.0000
0.0000 0.0000 14.4097
Y Fe Sb N
4 1 1 2
direct
0.0000 0.0000 0.1357
0.0000 0.0000 0.8643
0.3333 0.6667 0.3280
0.3333 0.6667 0.6720
0.3333 0.6667 0.0000
0.0000 0.0000 0.5000
0.6667 0.3333 0.2463
0.6667 0.3333 0.7537
```

[3]
Zr4FeSbN2 | PBE | relaxed

space group: P-6m2
crystal system: hexagonal

Cell and atoms, written as POSCAR:
```
Zr4FeSbN2
1.0
3.2866 0.0000 0.0000
-1.6433 2.8462 0.0000
0.0000 0.0000 13.7501
Zr Fe Sb N
4 1 1 2
direct
0.0000 0.0000 0.1412
0.0000 0.0000 0.8588
0.3333 0.6667 0.3312
0.3333 0.6667 0.6688
0.3333 0.6667 0.0000
0.0000 0.0000 0.5000
0.6667 0.3333 0.2371
0.6667 0.3333 0.7629
```

no.,DFT total energy (eV per atom),total moment (μB per cell)
1,-7.72,0.92
2,-7.72,0.97
3,-8.78,1.37